# 1
Computed, not measured: an optimized crystal structure of Pr3Y3Ho at the PBE-GGA level of DFT.

a b c (Å): 8.8281 8.8281 21.7488
angles (deg): 90.00 90.00 120.00
Space group R-3 (No. 148, hexagonal axes)
One atom of each set of equivalent atoms:
Pr: 0.0044 0.7620 0.0582 [18 per cell]
Y: 0.0581 0.6078 0.8811 [18 per cell]
Ho: 0.0000 0.0000 0.3517 [6 per cell]

Results
* total DFT energy (no corrections): -5.2236 eV/atom

---

# 2
Computed, not measured: an optimized crystal structure of AcPmPt4 at the PBE-GGA level of DFT.

a b c (Å): 7.8921 7.8921 7.8921
angles (deg): 90.00 90.00 90.00
Space group F-43m (No. 216)
One atom of each set of equivalent atoms:
Ac: 0.0000 0.0000 0.0000 [4 per cell]
Pm: 0.2500 0.2500 0.7500 [4 per cell]
Pt: 0.1248 0.1248 0.3752 [16 per cell]

Results
* total DFT energy (no corrections): -6.5422 eV/atom

---

# 3
Computed, not measured: an optimized crystal structure of FeSn2Ge2 at the PBE-GGA level of DFT.

a b c (Å): 6.4521 6.4521 4.9492
angles (deg): 90.00 90.00 90.00
Space group P4/mbm (No. 127)
One atom of each set of equivalent atoms:
Fe: 0.0000 0.0000 0.0000 [2 per cell]
Sn: 0.1787 0.3213 0.5000 [4 per cell]
Ge: 0.1460 0.6460 0.0000 [4 per cell]

Results
* total DFT energy (no corrections): -4.8761 eV/atom

---

# 4
Computed, not measured: an optimized crystal structure of Pm2TlCd3 at the PBE-GGA level of DFT.

a b c (Å): 7.1822 10.0781 17.4547
angles (deg): 90.00 90.00 90.00
Space group Fmmm (No. 69)
One atom of each set of equivalent atoms:
Pm: 0.2492 0.0000 0.0000 [8 per cell]
Pm: 0.2500 0.2500 0.2500 [8 per cell]
Tl: 0.0000 0.0000 0.3335 [8 per cell]
Cd: 0.0000 0.0000 0.1645 [8 per cell]
Cd: 0.0000 0.2470 0.0821 [16 per cell]

Results
* total DFT energy (no corrections): -2.7695 eV/atom

---

# 5
Computed, not measured: an optimized crystal structure of DySn6Pd12 at the PBE-GGA level of DFT.

a b c (Å): 12.0929 12.0929 8.7463
angles (deg): 90.00 90.00 120.00
Space group R-3m (No. 166, hexagonal axes)
One atom of each set of equivalent atoms:
Dy: 0.0000 0.0000 0.0000 [3 per cell]
Sn: 0.0551 0.5275 0.2480 [18 per cell]
Pd: 0.0000 0.3827 0.5000 [18 per cell]
Pd: 0.0811 0.1622 0.2831 [18 per cell]

Results
* total DFT energy (no corrections): -5.2307 eV/atom

---

# 6
Computed, not measured: an optimized crystal structure of K3Na12F5 at the PBE-GGA level of DFT.

a b c (Å): 17.1245 17.1245 17.1245
angles (deg): 90.00 90.00 90.00
Space group Ia-3d (No. 230)
One atom of each set of equivalent atoms:
K: 0.0000 0.2500 0.1250 [24 per cell]
Na: 0.0295 0.1398 0.9415 [96 per cell]
F: 0.0000 0.0000 0.0000 [16 per cell]
F: 0.0000 0.2500 0.3750 [24 per cell]

Results
* uncorrected formation energy: -1.109 eV/atom

---

# 7
Computed, not measured: an optimized crystal structure of HoPu2N3 at the PBE-GGA level of DFT.

a b c (Å): 3.4722 4.9163 10.4028
angles (deg): 90.00 90.00 90.00
Space group Immm (No. 71)
One atom of each set of equivalent atoms:
Ho: 0.0000 0.0000 0.0000 [2 per cell]
Pu: 0.0000 0.0000 0.3342 [4 per cell]
N: 0.0000 0.5000 0.0000 [2 per cell]
N: 0.0000 0.5000 0.3300 [4 per cell]

Results
* uncorrected formation energy: -1.413 eV/atom

---

# 8
Computed, not measured: an optimized crystal structure of Rb2ZnInRh at the PBE-GGA level of DFT.

a b c (Å): 6.8821 6.8821 4.9664
angles (deg): 90.00 90.00 90.00
Space group P4/mmm (No. 123)
One atom of each set of equivalent atoms:
Rb: 0.0000 0.5000 0.0000 [2 per cell]
Zn: 0.0000 0.0000 0.5000 [1 per cell]
In: 0.0000 0.0000 0.0000 [1 per cell]
Rh: 0.5000 0.5000 0.5000 [1 per cell]

Results
* total DFT energy (no corrections): -1.7187 eV/atom

---

# 9
Computed, not measured: an optimized crystal structure of Ga5Sn12Pt3 at the PBE-GGA level of DFT.

a b c (Å): 16.1069 16.1069 16.1069
angles (deg): 90.00 90.00 90.00
Space group Ia-3d (No. 230)
One atom of each set of equivalent atoms:
Ga: 0.0000 0.0000 0.0000 [16 per cell]
Ga: 0.0000 0.2500 0.3750 [24 per cell]
Sn: 0.0195 0.0815 0.6507 [96 per cell]
Pt: 0.0000 0.2500 0.1250 [24 per cell]

Results
* total DFT energy (no corrections): -4.1227 eV/atom

---

# 10
Computed, not measured: an optimized crystal structure of HgPtSe2 at the PBE-GGA level of DFT.

a b c (Å): 3.7510 3.7510 19.4252
angles (deg): 90.00 90.00 120.00
Space group P6_3/mmc (No. 194)
One atom of each set of equivalent atoms:
Hg: 0.3333 0.6667 0.2500 [2 per cell]
Pt: 0.0000 0.0000 0.0000 [2 per cell]
Se: 0.3333 0.6667 0.0675 [4 per cell]

Results
* ΔE to the lowest computed polymorph: 3.3 meV/atom
* uncorrected formation energy: -0.290 eV/atom

---

# 11
Computed, not measured: an optimized crystal structure of BeAlH2 at the PBE-GGA level of DFT.

a b c (Å): 4.1056 4.3045 6.0590
angles (deg): 81.26 70.52 62.68
Space group P1 (No. 1)
One atom of each set of equivalent atoms:
Be: 0.0000 0.0000 0.0000 [1 per cell]
Be: 0.2385 0.2905 0.1230 [1 per cell]
Al: 0.0383 0.2871 0.6138 [1 per cell]
Al: 0.6594 0.8990 0.7798 [1 per cell]
H: 0.1722 0.6565 0.1052 [1 per cell]
H: 0.3352 0.1431 0.3406 [1 per cell]
H: 0.6613 0.2156 0.5688 [1 per cell]
H: 0.8706 0.2754 0.1619 [1 per cell]

Results
* ΔE to the lowest computed polymorph: 17.1 meV/atom

---

# 12
Computed, not measured: an optimized crystal structure of Cs4RbCl5 at the PBE-GGA level of DFT.

a b c (Å): 4.9546 4.9546 34.9580
angles (deg): 90.00 90.00 90.00
Space group I4/mmm (No. 139)
One atom of each set of equivalent atoms:
Cs: 0.0000 0.0000 0.0986 [4 per cell]
Cs: 0.0000 0.0000 0.3010 [4 per cell]
Rb: 0.0000 0.0000 0.5000 [2 per cell]
Cl: 0.0000 0.0000 0.0000 [2 per cell]
Cl: 0.0000 0.0000 0.1996 [4 per cell]
Cl: 0.0000 0.0000 0.4033 [4 per cell]

Results
* uncorrected formation energy: -1.958 eV/atom

---

What did the seventh record say?
Computed, not measured: an optimized crystal structure of HoPu2N3 at the PBE-GGA level of DFT.

a b c (Å): 3.4722 4.9163 10.4028
angles (deg): 90.00 90.00 90.00
Space group Immm (No. 71)
One atom of each set of equivalent atoms:
Ho: 0.0000 0.0000 0.0000 [2 per cell]
Pu: 0.0000 0.0000 0.3342 [4 per cell]
N: 0.0000 0.5000 0.0000 [2 per cell]
N: 0.0000 0.5000 0.3300 [4 per cell]

Results
* uncorrected formation energy: -1.413 eV/atom